Record 1
5
Lattice="4.1588 0.0000 0.0000 0.0000 4.2052 0.0000 0.0000 0.0000 4.1588" Properties=species:S:1:pos:R:3 comment="CoSiNi2N, optimized geometry, DFT GGA-PBE" space_group="P4/mmm (123)" mass_density_g_cm3=4.987 raw_formation_energy_ev_per_atom=1.544 pbc="T T T"
Si 0.0000 0.0000 0.0000
Ni 2.0794 0.0000 0.0000
Co 0.0000 2.1026 0.0000
N 2.0794 2.1026 2.0794
Ni 0.0000 0.0000 2.0794

---

Record 2
5
Lattice="-1.1816 -1.0844 -3.5486 3.4135 -1.7779 -0.5933 -1.4350 -3.2456 1.4697" Properties=species:S:1:pos:R:3 comment="CoNi2SnN, optimized geometry, DFT GGA-PBE" space_group="P4/mmm (123)" mass_density_g_cm3=8.810 raw_formation_energy_ev_per_atom=0.017 pbc="T T T"
Ni 1.7067 -0.8889 -0.2967
Ni -0.5908 -0.5422 -1.7743
Co -0.7175 -1.6228 0.7348
Sn 0.3984 -3.0539 -1.3361
N 0.0000 0.0000 0.0000